{"formula": "TlCo2Te", "functional": "PBE", "state": "optimized geometry", "lattice_angstrom": [[-0.516, 2.588, 6.379], [2.945, -5.699, 2.551], [4.146, -0.183, 4.145]], "species": ["Co", "Co", "Co", "Co", "Tl", "Tl", "Te", "Te"], "frac_coords": [[0.875, 0.843, 0.750], [0.157, 0.625, 0.250], [0.593, 0.125, 0.250], [0.375, 0.407, 0.750], [0.000, 0.000, 0.000], [0.750, 0.250, 0.500], [0.250, 0.750, 0.500], [0.500, 0.500, 0.000]], "dos_ef_per_ev_cell": 14.29, "de_polymorph_kcal_per_mol_atoms": 10.26, "sg": "I-42d, No. 122", "formation_energy_uncorrected_ev_per_atom": 0.6506, "final_energy_ev_per_atom": -4.279}

{"formula": "TlCo2Te", "functional": "PBE", "state": "optimized geometry", "lattice_angstrom": [[-1.495, 2.938, -2.746], [-1.323, -0.475, -4.054], [-6.600, 0.322, -1.713]], "species": ["Te", "Co", "Co", "Tl"], "frac_coords": [[0.750, 0.750, 0.750], [0.520, 0.520, 0.603], [0.980, 0.980, 0.897], [0.250, 0.250, 0.250]], "dos_ef_per_ev_cell": 3.60, "de_polymorph_kcal_per_mol_atoms": 3.51, "sg": "C2/m, No. 12", "formation_energy_uncorrected_ev_per_atom": 0.3579, "final_energy_ev_per_atom": -4.572}

{"formula": "TlCo3Te", "functional": "PBE", "state": "optimized geometry", "lattice_angstrom": [[-2.019, -2.759, 3.370], [-1.190, -3.224, -3.352], [4.190, -2.245, 0.672]], "species": ["Co", "Co", "Co", "Te", "Tl"], "frac_coords": [[0.000, 0.500, 0.000], [0.000, 0.000, 0.500], [0.500, 0.000, 0.000], [0.500, 0.500, 0.500], [0.000, 0.000, 0.000]], "dos_ef_per_ev_cell": 13.86, "de_polymorph_kcal_per_mol_atoms": 13.45, "sg": "Pm-3m, No. 221", "formation_energy_uncorrected_ev_per_atom": 1.5162, "final_energy_ev_per_atom": -3.849}

{"formula": "TlCo2Te", "functional": "PBE", "state": "optimized geometry", "lattice_angstrom": [[6.505, -0.361, -0.216], [5.652, 3.240, -0.216], [5.652, 1.339, 2.959]], "species": ["Tl", "Co", "Co", "Te"], "frac_coords": [[0.750, 0.750, 0.750], [0.989, 0.989, 0.989], [0.511, 0.511, 0.511], [0.250, 0.250, 0.250]], "dos_ef_per_ev_cell": 3.83, "de_polymorph_kcal_per_mol_atoms": 5.93, "sg": "R-3m, No. 166", "formation_energy_uncorrected_ev_per_atom": 0.4625, "final_energy_ev_per_atom": -4.467}

{"formula": "Tl2CoTe", "functional": "PBE", "state": "optimized geometry", "lattice_angstrom": [[-2.102, -4.649, 3.118], [4.989, -1.063, -3.121], [1.780, 0.885, 2.532]], "species": ["Tl", "Tl", "Co", "Te"], "frac_coords": [[0.000, 0.000, 0.000], [0.500, 0.500, 0.000], [0.500, 0.000, 0.500], [0.000, 0.500, 0.500]], "dos_ef_per_ev_cell": 2.49, "de_polymorph_kcal_per_mol_atoms": 9.86, "sg": "C2/m, No. 12", "formation_energy_uncorrected_ev_per_atom": 0.5347, "final_energy_ev_per_atom": -3.210}

{"formula": "TlCo3Te", "functional": "PBE", "state": "optimized geometry", "lattice_angstrom": [[4.720, 0.000, 0.000], [0.000, 4.720, 0.000], [0.000, 0.000, 4.720]], "species": ["Co", "Co", "Co", "Tl", "Te"], "frac_coords": [[0.000, 0.000, 0.500], [0.000, 0.500, 0.000], [0.500, 0.000, 0.000], [0.500, 0.500, 0.500], [0.000, 0.000, 0.000]], "dos_ef_per_ev_cell": 1.07, "de_polymorph_kcal_per_mol_atoms": 0.00, "sg": "Pm-3m, No. 221", "formation_energy_uncorrected_ev_per_atom": 0.9329, "final_energy_ev_per_atom": -4.432}

{"formula": "TlCo2Te", "functional": "PBE", "state": "optimized geometry", "lattice_angstrom": [[3.974, -0.014, 0.022], [2.001, 3.433, 0.022], [1.965, 1.125, 6.551]], "species": ["Co", "Co", "Te", "Tl"], "frac_coords": [[0.725, 0.725, 0.826], [0.044, 0.044, 0.868], [0.455, 0.455, 0.636], [0.276, 0.276, 0.171]], "dos_ef_per_ev_cell": 3.21, "de_polymorph_kcal_per_mol_atoms": 0.00, "sg": "Cm, No. 8", "formation_energy_uncorrected_ev_per_atom": 0.2056, "final_energy_ev_per_atom": -4.724}

{"formula": "Tl2CoTe", "functional": "PBE", "state": "optimized geometry", "lattice_angstrom": [[4.398, 0.000, 0.000], [0.000, 4.396, 0.000], [0.000, 0.000, 5.370]], "species": ["Co", "Tl", "Tl", "Te"], "frac_coords": [[0.500, 0.000, 0.500], [0.000, 0.000, 0.000], [0.500, 0.500, 0.000], [0.000, 0.500, 0.500]], "dos_ef_per_ev_cell": 3.74, "de_polymorph_kcal_per_mol_atoms": 8.28, "sg": "P4/mmm, No. 123", "formation_energy_uncorrected_ev_per_atom": 0.4665, "final_energy_ev_per_atom": -3.279}

{"formula": "TlCo2Te", "functional": "PBE", "state": "optimized geometry", "lattice_angstrom": [[0.000, 3.269, 3.269], [3.269, 0.000, 3.269], [3.269, 3.269, 0.000]], "species": ["Co", "Co", "Te", "Tl"], "frac_coords": [[0.750, 0.750, 0.750], [0.250, 0.250, 0.250], [0.000, 0.000, 0.000], [0.500, 0.500, 0.500]], "dos_ef_per_ev_cell": 2.54, "de_polymorph_kcal_per_mol_atoms": 7.77, "sg": "Fm-3m, No. 225", "formation_energy_uncorrected_ev_per_atom": 0.5427, "final_energy_ev_per_atom": -4.387}

{"formula": "Tl2CoTe", "functional": "PBE", "state": "optimized geometry", "lattice_angstrom": [[8.239, 0.003, -0.051], [7.559, 3.278, -0.051], [0.999, 0.208, 3.884]], "species": ["Tl", "Tl", "Te", "Co"], "frac_coords": [[0.079, 0.079, 0.921], [0.421, 0.421, 0.579], [0.250, 0.250, 0.250], [0.750, 0.750, 0.750]], "dos_ef_per_ev_cell": 4.22, "de_polymorph_kcal_per_mol_atoms": 2.01, "sg": "Immm, No. 71", "formation_energy_uncorrected_ev_per_atom": 0.1942, "final_energy_ev_per_atom": -3.551}

{"formula": "Tl2CoTe", "functional": "PBE", "state": "optimized geometry", "lattice_angstrom": [[5.422, -0.103, 0.000], [1.064, 5.317, 0.000], [-3.243, -2.607, 3.477]], "species": ["Te", "Co", "Tl", "Tl"], "frac_coords": [[0.750, 0.250, 0.500], [0.500, 0.500, 0.000], [0.000, 0.000, 0.000], [0.250, 0.750, 0.500]], "dos_ef_per_ev_cell": 6.12, "de_polymorph_kcal_per_mol_atoms": 9.40, "sg": "I-4m2, No. 119", "formation_energy_uncorrected_ev_per_atom": 0.5149, "final_energy_ev_per_atom": -3.230}

{"formula": "TlCo2Te2", "functional": "PBE", "state": "optimized geometry", "lattice_angstrom": [[-2.211, -2.050, 2.296], [2.145, -3.054, -0.661], [4.682, -0.601, 7.100]], "species": ["Co", "Co", "Te", "Te", "Tl"], "frac_coords": [[0.250, 0.750, 0.500], [0.750, 0.250, 0.500], [0.350, 0.350, 0.300], [0.650, 0.650, 0.700], [0.000, 0.000, 0.000]], "dos_ef_per_ev_cell": 5.89, "de_polymorph_kcal_per_mol_atoms": 0.00, "sg": "I4/mmm, No. 139", "formation_energy_uncorrected_ev_per_atom": -0.0598, "final_energy_ev_per_atom": -4.632}